## LiAlSb2 (PBEsol)

Data for crystalline LiAlSb2 at its relaxed geometry.

Results
For the electronic total energy, the calculation gives -3.791 eV per atom. The mass density is 5.1 Mg/m³. As for the raw formation energy: 2.4 meV per atom.

```
4
Lattice="-1.200 -2.562 1.230 2.043 0.151 2.306 -6.029 5.224 5.001" Properties=species:S:1:pos:R:3 pbc="T T T"
Sb -5.781 5.009 4.795
Sb -1.339 0.319 3.228
Al -3.102 2.687 2.573
Li -4.008 2.632 5.442
```